Record 1
An optimized crystal structure of TaCu2Se, computed with PBE.

Properties
* Fermi-level density of states: 2.4 states/eV/f.u.
* E: -5.671 eV/atom
* symmetry: Cmmm, No. 65

The structure in POSCAR format:
```
TaCu2Se
1.0
4.991 0.000 0.000
0.000 7.987 0.000
0.000 0.000 3.181
Ta Cu Se
2 4 2
direct
0.000 0.000 0.000 Ta
0.500 0.500 0.000 Ta
0.250 0.250 0.500 Cu
0.250 0.750 0.500 Cu
0.750 0.250 0.500 Cu
0.750 0.750 0.500 Cu
0.000 0.500 0.000 Se
0.500 0.000 0.000 Se
```

Record 2
An optimized crystal structure of TaCu2Se, computed with PBE.

Properties
* Fermi-level density of states: 2.6 states/eV/f.u.
* E: -5.767 eV/atom
* symmetry: R3m, No. 160

The structure in POSCAR format:
```
TaCu2Se
1.0
3.211 0.000 0.000
-1.605 2.781 0.000
0.000 0.000 22.705
Ta Cu Se
3 6 3
direct
0.000 0.000 0.000 Ta
0.333 0.667 0.667 Ta
0.667 0.333 0.333 Ta
0.000 0.000 0.248 Cu
0.000 0.000 0.510 Cu
0.333 0.667 0.176 Cu
0.333 0.667 0.915 Cu
0.667 0.333 0.582 Cu
0.667 0.333 0.843 Cu
0.000 0.000 0.746 Se
0.333 0.667 0.412 Se
0.667 0.333 0.079 Se
```

no.,E_form (uncorrected) (eV per atom)
1,0.2114
2,0.1156